Version i
Below is an optimized crystal structure of TaCr2Ir2, with properties calculated at the PBE level.

Structure (POSCAR):
```
TaCr2Ir2
1.0
7.3094 0.0000 0.0000
0.0000 7.3094 0.0000
0.0000 0.0000 2.7126
Ir Ta Cr
4 2 4
Cartesian
2.7117 6.3664 0.0000
6.3664 4.5977 0.0000
4.5977 0.9430 0.0000
0.9430 2.7117 0.0000
3.6547 3.6547 0.0000
0.0000 0.0000 0.0000
4.8865 6.0776 1.3563
6.0776 2.4229 1.3563
2.4229 1.2318 1.3563
1.2318 4.8865 1.3563
```

- M_tot (μB per formula unit) = 0.00

Version ii
Below is an optimized crystal structure of TaCr2Ir2, with properties calculated at the PBE level.

Structure (POSCAR):
```
TaCr2Ir2
1.0
-7.0746 1.5459 0.1925
-1.4665 -6.9105 1.6034
0.1980 0.5750 2.6591
Ir Cr Ta
4 4 2
Cartesian
-2.4507 -0.4287 1.6743
-2.1383 -4.1125 2.4475
-6.2048 -0.6771 2.0075
-5.8923 -4.3609 2.7808
-1.3878 -2.4682 0.6370
-4.0068 -5.5114 1.4901
-4.5342 0.1468 0.3059
-7.1532 -2.8964 1.1589
-4.2705 -2.6823 0.8980
0.0000 0.0000 0.0000
```

- M_tot (μB per formula unit) = 0.00

Most stable structure, least stable structure: version ii, version i.

Version i
Below is an optimized crystal structure of CrTcIr, with properties calculated at the PBE level.

Structure (POSCAR):
```
CrTcIr
1.0
-0.0083 1.6369 2.1297
-0.6899 -4.2549 3.2984
5.4120 -0.7849 2.3412
Ir Tc Cr
2 2 2
Cartesian
3.2882 -1.9281 4.9222
1.4256 -1.4748 2.8472
3.5924 0.1922 3.2599
1.1214 -3.5951 4.5095
-0.1478 -1.0746 0.8517
4.8616 -2.3282 6.9176
```

- M_tot (μB per formula unit) = 0.00

Version ii
Below is an optimized crystal structure of CrTcIr, with properties calculated at the PBE level.

Structure (POSCAR):
```
CrTcIr
1.0
-0.9404 -3.0168 -2.5132
2.6278 -1.1557 -2.8392
1.8843 -3.5564 0.3208
Cr Tc Ir
1 1 1
Cartesian
2.6788 -5.7967 -3.7737
1.7859 -3.8644 -2.5158
0.0000 0.0000 0.0000
```

- M_tot (μB per formula unit) = 0.00

Version iii
Below is an optimized crystal structure of CrTcIr, with properties calculated at the PBE level.

Structure (POSCAR):
```
CrTcIr
1.0
-4.1870 0.9863 1.8342
-2.1385 -3.0471 2.8302
3.7952 2.6208 -0.7718
Cr Ir Tc
1 1 1
Cartesian
-0.0039 -0.0013 0.0029
-4.1929 -1.3660 3.0918
-2.1287 -0.6935 1.5697
```

- M_tot (μB per formula unit) = 0.00

Version iv
Below is an optimized crystal structure of CrTcIr, with properties calculated at the PBE level.

Structure (POSCAR):
```
CrTcIr
1.0
-2.7129 3.0503 1.0508
0.1589 -3.5515 2.2649
1.8468 1.0954 1.5881
Ir Tc Cr
1 1 1
Cartesian
-1.1400 1.2148 1.9849
0.7405 -0.4382 3.1836
1.5390 0.9129 1.3235
```

- M_tot (μB per formula unit) = 0.00

Most stable structure, least stable structure: version iv, version ii.